No. 1
# ReNi5Pt2

A relaxed ReNi5Pt2 crystal (PBE, the Alexandria database).

Cell lengths 3.730, 5.196, 10.399 Å; angles 90.00, 90.00, 90.00 degrees
Fractional coordinates of all 16 atoms:
Re  0.000  0.000  0.500
Ni  0.000  0.493  0.756
Pt  0.500  0.761  0.126
Pt  0.500  0.739  0.626
Pt  0.500  0.239  0.874
Ni  0.500  0.743  0.876
Pt  0.500  0.261  0.374
Re  0.000  0.500  0.000
Ni  0.000  0.500  0.500
Ni  0.000  0.007  0.256
Ni  0.500  0.757  0.376
Ni  0.000  0.993  0.744
Ni  0.000  0.000  0.000
Ni  0.500  0.257  0.124
Ni  0.500  0.243  0.624
Ni  0.000  0.507  0.244

---

No. 2
# ReNiPt3Rh

A relaxed ReNiPt3Rh crystal (PBE, the Alexandria database).

Cell lengths 2.742, 7.257, 8.962 Å; angles 90.00, 90.00, 100.89 degrees
Site moments in Bohr magnetons follow the coordinates.
Fractional coordinates of all 12 atoms:
Re  0.000  0.000  0.000  0.04
Ni  0.777  0.554  0.750  0.52
Ni  0.223  0.446  0.250  0.52
Rh  0.556  0.112  0.250  0.10
Pt  0.113  0.227  0.750  0.09
Rh  0.444  0.888  0.750  0.10
Pt  0.887  0.773  0.250  0.09
Pt  0.335  0.669  0.992  0.07
Pt  0.335  0.669  0.508  0.07
Re  0.000  0.000  0.500  0.04
Pt  0.665  0.331  0.492  0.07
Pt  0.665  0.331  0.008  0.07

---

No. 3
# ReNiPtRh

A relaxed ReNiPtRh crystal (PBE, the Alexandria database).

Cell lengths 4.306, 4.306, 4.306 Å; angles 60.01, 60.01, 60.00 degrees
Fractional coordinates of all 4 atoms:
Ni  0.693  0.693  0.920
Rh  0.194  0.194  0.419
Pt  0.443  0.443  0.670
Re  0.944  0.944  0.169

---

No. 4
# ReNi2PtRh

A relaxed ReNi2PtRh crystal (PBE, the Alexandria database).

Cell lengths 4.428, 4.757, 4.428 Å; angles 90.00, 90.00, 90.00 degrees
Fractional coordinates of all 5 atoms:
Ni  0.000  0.000  0.500
Ni  0.500  0.000  0.000
Rh  0.500  0.500  0.500
Re  0.000  0.000  0.000
Pt  0.000  0.500  0.000

---

No. 5
# SrReNi2Pt

A relaxed SrReNi2Pt crystal (PBE, the Alexandria database).

Cell lengths 4.629, 4.944, 4.629 Å; angles 90.00, 90.00, 90.00 degrees
Fractional coordinates of all 5 atoms:
Sr  0.500  0.500  0.500
Ni  0.000  0.000  0.500
Ni  0.500  0.000  0.000
Re  0.000  0.000  0.000
Pt  0.000  0.500  0.000

---

No. 6
# Ni2PtRh2

A relaxed Ni2PtRh2 crystal (PBE, the Alexandria database).

Cell lengths 4.546, 4.954, 7.725 Å; angles 121.57, 107.11, 90.00 degrees
Site moments in Bohr magnetons follow the coordinates.
Fractional coordinates of all 10 atoms:
Ni  0.989  0.706  0.803  0.72
Rh  0.380  0.378  0.580  0.27
Ni  0.814  0.206  0.803  0.72
Rh  0.200  0.878  0.580  0.27
Ni  0.186  0.794  0.197  0.72
Pt  0.400  0.250  0.000  0.25
Ni  0.011  0.294  0.197  0.72
Rh  0.800  0.122  0.420  0.27
Rh  0.620  0.622  0.420  0.27
Pt  0.600  0.750  0.000  0.25

The energy above the lowest structure with this stoichiometry is 0.033 eV/atom.

---

No. 7
# Ni4PtRh2

A relaxed Ni4PtRh2 crystal (PBE, the Alexandria database).

Cell lengths 5.137, 5.137, 8.686 Å; angles 107.20, 107.20, 90.00 degrees
Site moments in Bohr magnetons follow the coordinates.
Fractional coordinates of all 14 atoms:
Ni  0.034  0.743  0.067  0.55
Rh  0.875  0.125  0.250  0.32
Ni  0.716  0.925  0.433  0.55
Ni  0.716  0.507  0.433  0.55
Ni  0.075  0.284  0.567  0.55
Ni  0.675  0.966  0.933  0.55
Ni  0.493  0.284  0.567  0.55
Rh  0.375  0.125  0.250  0.32
Pt  0.500  0.500  0.000  0.17
Ni  0.034  0.325  0.067  0.55
Ni  0.257  0.966  0.933  0.55
Rh  0.875  0.625  0.750  0.32
Rh  0.875  0.125  0.750  0.32
Pt  0.250  0.750  0.500  0.17

The energy above the lowest structure with this stoichiometry is 0.423 eV/atom.

---

No. 8
# Ni8PtRh6

A relaxed Ni8PtRh6 crystal (PBE, the Alexandria database).

Cell lengths 2.652, 9.505, 9.505 Å; angles 120.00, 90.00, 90.00 degrees
Site moments in Bohr magnetons follow the coordinates.
Fractional coordinates of all 15 atoms:
Ni  0.755  0.667  0.333  0.74
Ni  0.219  0.281  0.073  0.68
Rh  0.745  0.532  0.628  0.59
Ni  0.781  0.073  0.791  0.68
Ni  0.781  0.209  0.281  0.68
Ni  0.219  0.927  0.209  0.68
Rh  0.255  0.628  0.097  0.59
Ni  0.245  0.333  0.667  0.74
Pt  0.500  0.000  0.000  0.21
Rh  0.255  0.903  0.532  0.59
Rh  0.745  0.097  0.468  0.59
Rh  0.255  0.468  0.372  0.59
Ni  0.219  0.791  0.719  0.68
Ni  0.781  0.719  0.927  0.68
Rh  0.745  0.372  0.903  0.59

The energy above the lowest structure with this stoichiometry is 0.301 eV/atom.

---

In order of appearance, VASP energy = -108.0 -88.3 -30.8 -29.9 -29.6 -63.2 -78.9 -91.5 eV/cell.
In order of appearance, energy relative to the elements = -0.0735 -0.0725 0.1988 1.5042 0.4275 0.1380 0.6292 0.3248 eV per atom.
In order of appearance, total magnetic moment = 0.0 0.9 0.0 0.0 0.0 2.2 3.0 9.1 μB/f.u..